No. 1
This record from Alexandria via LeMat-Bulk describes crystalline Li2DyEr2Si2 at its relaxed geometry. The functional is PBE.

Geometry as CIF:
```
data_Li2DyEr2Si2
_chemical_formula_sum 'Li6 Dy3 Er6 Si6'
_symmetry_space_group_name_H-M 'R -3 m'
_symmetry_Int_Tables_number 166
_symmetry_space_group_name_Hall '-R 3 2"'
_cell_length_a 4.4152
_cell_length_b 4.4152
_cell_length_c 26.1459
_cell_angle_alpha 90.00
_cell_angle_beta 90.00
_cell_angle_gamma 120.00
loop_
_atom_site_label
_atom_site_fract_x
_atom_site_fract_y
_atom_site_fract_z
_atom_site_occupancy
Li1 0.0000 0.0000 0.0999 1
Dy1 0.0000 0.0000 0.5000 1
Er1 0.0000 0.0000 0.3729 1
Si1 0.0000 0.0000 0.2373 1
```

formation energy from raw total energies = -263 kJ/mol of formula units

No. 2
This record from Alexandria via LeMat-Bulk describes crystalline Li2DyErSi2 at its relaxed geometry. The functional is PBE.

Geometry as CIF:
```
data_Li2DyErSi2
_chemical_formula_sum 'Li2 Dy1 Er1 Si2'
_symmetry_space_group_name_H-M 'P -3 m 1'
_symmetry_Int_Tables_number 164
_symmetry_space_group_name_Hall '-P 3 2"'
_cell_length_a 4.3595
_cell_length_b 4.3595
_cell_length_c 7.0748
_cell_angle_alpha 90.00
_cell_angle_beta 90.00
_cell_angle_gamma 120.00
loop_
_atom_site_label
_atom_site_fract_x
_atom_site_fract_y
_atom_site_fract_z
_atom_site_occupancy
Li1 0.3333 0.6667 0.2407 1
Dy1 0.0000 0.0000 0.5000 1
Er1 0.0000 0.0000 0.0000 1
Si1 0.3333 0.6667 0.7532 1
```

formation energy from raw total energies = -329 kJ/mol of formula units

No. 3
This record from Alexandria via LeMat-Bulk describes crystalline LiDyErSi at its relaxed geometry. The functional is PBE.

Geometry as CIF:
```
data_LiDyErSi
_chemical_formula_sum 'Li4 Dy4 Er4 Si4'
_symmetry_space_group_name_H-M 'F -4 3 m'
_symmetry_Int_Tables_number 216
_symmetry_space_group_name_Hall 'F -4 2 3'
_cell_length_a 6.985
_cell_length_b 6.985
_cell_length_c 6.985
_cell_angle_alpha 90.00
_cell_angle_beta 90.00
_cell_angle_gamma 90.00
loop_
_atom_site_label
_atom_site_fract_x
_atom_site_fract_y
_atom_site_fract_z
_atom_site_occupancy
Li1 0.000 0.000 0.000 1
Dy1 0.250 0.250 0.750 1
Er1 0.250 0.250 0.250 1
Si1 0.000 0.000 0.500 1
```

formation energy from raw total energies = -137 kJ/mol of formula units

No. 4
This record from Alexandria via LeMat-Bulk describes crystalline LiDyErSn at its relaxed geometry. The functional is PBE.

Geometry as CIF:
```
data_LiDyErSn
_chemical_formula_sum 'Li4 Dy4 Er4 Sn4'
_symmetry_space_group_name_H-M 'F -4 3 m'
_symmetry_Int_Tables_number 216
_symmetry_space_group_name_Hall 'F -4 2 3'
_cell_length_a 7.340
_cell_length_b 7.340
_cell_length_c 7.340
_cell_angle_alpha 90.00
_cell_angle_beta 90.00
_cell_angle_gamma 90.00
loop_
_atom_site_label
_atom_site_fract_x
_atom_site_fract_y
_atom_site_fract_z
_atom_site_occupancy
Li1 0.000 0.000 0.000 1
Dy1 0.250 0.250 0.750 1
Er1 0.250 0.250 0.250 1
Sn1 0.000 0.000 0.500 1
```

E_form = -154 kJ/mol of formula units

No. 5
This record from Alexandria via LeMat-Bulk describes crystalline Li2DyEr2Sn2 at its relaxed geometry. The functional is PBE.

Geometry as CIF:
```
data_Li2DyEr2Sn2
_chemical_formula_sum 'Li6 Dy3 Er6 Sn6'
_symmetry_space_group_name_H-M 'R -3 m'
_symmetry_Int_Tables_number 166
_symmetry_space_group_name_Hall '-R 3 2"'
_cell_length_a 4.7677
_cell_length_b 4.7677
_cell_length_c 26.1927
_cell_angle_alpha 90.00
_cell_angle_beta 90.00
_cell_angle_gamma 120.00
loop_
_atom_site_label
_atom_site_fract_x
_atom_site_fract_y
_atom_site_fract_z
_atom_site_occupancy
Li1 0.0000 0.0000 0.0964 1
Dy1 0.0000 0.0000 0.5000 1
Er1 0.0000 0.0000 0.3707 1
Sn1 0.0000 0.0000 0.2374 1
```

E_form = -294 kJ/mol of formula units

No. 6
This record from Alexandria via LeMat-Bulk describes crystalline LiDyErTc at its relaxed geometry. The functional is PBE.

Geometry as CIF:
```
data_LiDyErTc
_chemical_formula_sum 'Li4 Dy4 Er4 Tc4'
_symmetry_space_group_name_H-M 'F -4 3 m'
_symmetry_Int_Tables_number 216
_symmetry_space_group_name_Hall 'F -4 2 3'
_cell_length_a 6.943
_cell_length_b 6.943
_cell_length_c 6.943
_cell_angle_alpha 90.00
_cell_angle_beta 90.00
_cell_angle_gamma 90.00
loop_
_atom_site_label
_atom_site_fract_x
_atom_site_fract_y
_atom_site_fract_z
_atom_site_occupancy
Li1 0.000 0.000 0.000 1
Dy1 0.250 0.250 0.750 1
Er1 0.250 0.250 0.250 1
Tc1 0.000 0.000 0.500 1
```

E_form = -18 kJ/mol of formula units

No. 7
This record from Alexandria via LeMat-Bulk describes crystalline LiDy2Er3Te6 at its relaxed geometry. The functional is PBE.

Geometry as CIF:
```
data_LiDy2Er3Te6
_chemical_formula_sum 'Li2 Dy4 Er6 Te12'
_symmetry_space_group_name_H-M 'C 1 2/m 1'
_symmetry_Int_Tables_number 12
_symmetry_space_group_name_Hall '-C 2y'
_cell_length_a 18.855
_cell_length_b 4.315
_cell_length_c 8.642
_cell_angle_alpha 90.00
_cell_angle_beta 103.29
_cell_angle_gamma 90.00
loop_
_atom_site_label
_atom_site_fract_x
_atom_site_fract_y
_atom_site_fract_z
_atom_site_occupancy
Li1 0.000 0.000 0.000 1
Dy1 0.170 0.500 0.341 1
Er1 0.000 0.000 0.500 1
Er2 0.169 0.500 0.831 1
Te1 0.000 0.500 0.243 1
Te2 0.162 0.000 0.079 1
Te3 0.164 0.000 0.586 1
```

formation energy from raw total energies = -1477 kJ/mol of formula units

No. 8
This record from Alexandria via LeMat-Bulk describes crystalline LiDyErTe3 at its relaxed geometry. The functional is PBE.

Geometry as CIF:
```
data_LiDyErTe3
_chemical_formula_sum 'Li2 Dy2 Er2 Te6'
_symmetry_space_group_name_H-M 'P 1 21/m 1'
_symmetry_Int_Tables_number 11
_symmetry_space_group_name_Hall '-P 2yb'
_cell_length_a 8.829
_cell_length_b 4.198
_cell_length_c 9.439
_cell_angle_alpha 90.00
_cell_angle_beta 103.93
_cell_angle_gamma 90.00
loop_
_atom_site_label
_atom_site_fract_x
_atom_site_fract_y
_atom_site_fract_z
_atom_site_occupancy
Li1 0.085 0.250 0.085 1
Dy1 0.186 0.250 0.732 1
Er1 0.333 0.750 0.336 1
Te1 0.090 0.250 0.377 1
Te2 0.238 0.750 0.996 1
Te3 0.423 0.750 0.672 1
```

formation energy from raw total energies = -701 kJ/mol of formula units

No. 9
This record from Alexandria via LeMat-Bulk describes crystalline Li3Dy2ErTe6 at its relaxed geometry. The functional is PBE.

Geometry as CIF:
```
data_Li3Dy2ErTe6
_chemical_formula_sum 'Li6 Dy4 Er2 Te12'
_symmetry_space_group_name_H-M 'C 1 2/m 1'
_symmetry_Int_Tables_number 12
_symmetry_space_group_name_Hall '-C 2y'
_cell_length_a 7.504
_cell_length_b 12.999
_cell_length_c 7.487
_cell_angle_alpha 90.00
_cell_angle_beta 109.52
_cell_angle_gamma 90.00
loop_
_atom_site_label
_atom_site_fract_x
_atom_site_fract_y
_atom_site_fract_z
_atom_site_occupancy
Li1 0.000 0.000 0.000 1
Li2 0.000 0.333 0.000 1
Dy1 0.000 0.167 0.500 1
Er1 0.000 0.500 0.500 1
Te1 0.247 0.500 0.245 1
Te2 0.249 0.166 0.245 1
```

formation energy from raw total energies = -1492 kJ/mol of formula units

No. 10
This record from Alexandria via LeMat-Bulk describes crystalline Li2DyErTe4 at its relaxed geometry. The functional is PBE.

Geometry as CIF:
```
data_Li2DyErTe4
_chemical_formula_sum 'Li2 Dy1 Er1 Te4'
_symmetry_space_group_name_H-M 'P 1 2/m 1'
_symmetry_Int_Tables_number 10
_symmetry_space_group_name_Hall '-P 2y'
_cell_length_a 7.483
_cell_length_b 4.331
_cell_length_c 7.495
_cell_angle_alpha 90.00
_cell_angle_beta 109.50
_cell_angle_gamma 90.00
loop_
_atom_site_label
_atom_site_fract_x
_atom_site_fract_y
_atom_site_fract_z
_atom_site_occupancy
Li1 0.000 0.000 0.000 1
Li2 0.000 0.500 0.500 1
Dy1 0.500 0.000 0.500 1
Er1 0.500 0.500 0.000 1
Te1 0.245 0.500 0.247 1
Te2 0.246 0.000 0.750 1
```

formation energy from raw total energies = -993 kJ/mol of formula units

No. 11
This record from Alexandria via LeMat-Bulk describes crystalline LiDy2ErTe4 at its relaxed geometry. The functional is PBE.

Geometry as CIF:
```
data_LiDy2ErTe4
_chemical_formula_sum 'Li1 Dy2 Er1 Te4'
_symmetry_space_group_name_H-M 'P 1 2/m 1'
_symmetry_Int_Tables_number 10
_symmetry_space_group_name_Hall '-P 2y'
_cell_length_a 7.487
_cell_length_b 4.300
_cell_length_c 7.503
_cell_angle_alpha 90.00
_cell_angle_beta 109.14
_cell_angle_gamma 90.00
loop_
_atom_site_label
_atom_site_fract_x
_atom_site_fract_y
_atom_site_fract_z
_atom_site_occupancy
Li1 0.000 0.000 0.000 1
Dy1 0.000 0.500 0.500 1
Dy2 0.500 0.000 0.500 1
Er1 0.500 0.500 0.000 1
Te1 0.242 0.500 0.240 1
Te2 0.246 0.000 0.758 1
```

formation energy from raw total energies = -999 kJ/mol of formula units

No. 12
This record from Alexandria via LeMat-Bulk describes crystalline LiDy2ErTe5 at its relaxed geometry. The functional is PBE.

Geometry as CIF:
```
data_LiDy2ErTe5
_chemical_formula_sum 'Li4 Dy8 Er4 Te20'
_symmetry_space_group_name_H-M 'C m c 21'
_symmetry_Int_Tables_number 36
_symmetry_space_group_name_Hall 'C 2c -2'
_cell_length_a 4.311
_cell_length_b 18.386
_cell_length_c 13.157
_cell_angle_alpha 90.00
_cell_angle_beta 90.00
_cell_angle_gamma 90.00
loop_
_atom_site_label
_atom_site_fract_x
_atom_site_fract_y
_atom_site_fract_z
_atom_site_occupancy
Li1 0.000 0.058 0.000 1
Dy1 0.000 0.373 0.835 1
Dy2 0.000 0.394 0.221 1
Er1 0.000 0.303 0.546 1
Te1 0.000 0.002 0.320 1
Te2 0.000 0.138 0.535 1
Te3 0.000 0.189 0.880 1
Te4 0.000 0.218 0.206 1
Te5 0.000 0.454 0.612 1
```

formation energy from raw total energies = -1064 kJ/mol of formula units

No. 13
This record from Alexandria via LeMat-Bulk describes crystalline Li3DyEr2Te6 at its relaxed geometry. The functional is PBE.

Geometry as CIF:
```
data_Li3DyEr2Te6
_chemical_formula_sum 'Li6 Dy2 Er4 Te12'
_symmetry_space_group_name_H-M 'C 1 2/m 1'
_symmetry_Int_Tables_number 12
_symmetry_space_group_name_Hall '-C 2y'
_cell_length_a 7.489
_cell_length_b 12.971
_cell_length_c 7.482
_cell_angle_alpha 90.00
_cell_angle_beta 109.49
_cell_angle_gamma 90.00
loop_
_atom_site_label
_atom_site_fract_x
_atom_site_fract_y
_atom_site_fract_z
_atom_site_occupancy
Li1 0.000 0.000 0.000 1
Li2 0.000 0.333 0.000 1
Dy1 0.000 0.500 0.500 1
Er1 0.000 0.167 0.500 1
Te1 0.248 0.168 0.246 1
Te2 0.250 0.000 0.754 1
```

formation energy from raw total energies = -1487 kJ/mol of formula units

No. 14
This record from Alexandria via LeMat-Bulk describes crystalline LiDyEr2Te4 at its relaxed geometry. The functional is PBE.

Geometry as CIF:
```
data_LiDyEr2Te4
_chemical_formula_sum 'Li1 Dy1 Er2 Te4'
_symmetry_space_group_name_H-M 'P 1 2/m 1'
_symmetry_Int_Tables_number 10
_symmetry_space_group_name_Hall '-P 2y'
_cell_length_a 7.479
_cell_length_b 4.293
_cell_length_c 7.493
_cell_angle_alpha 90.00
_cell_angle_beta 109.15
_cell_angle_gamma 90.00
loop_
_atom_site_label
_atom_site_fract_x
_atom_site_fract_y
_atom_site_fract_z
_atom_site_occupancy
Li1 0.000 0.000 0.000 1
Dy1 0.000 0.500 0.500 1
Er1 0.500 0.000 0.500 1
Er2 0.500 0.500 0.000 1
Te1 0.245 0.500 0.243 1
Te2 0.248 0.000 0.756 1
```

formation energy from raw total energies = -989 kJ/mol of formula units

No. 15
This record from Alexandria via LeMat-Bulk describes crystalline LiDyEr2Tl4 at its relaxed geometry. The functional is PBE.

Geometry as CIF:
```
data_LiDyEr2Tl4
_chemical_formula_sum 'Li3 Dy3 Er6 Tl12'
_symmetry_space_group_name_H-M 'R -3 m'
_symmetry_Int_Tables_number 166
_symmetry_space_group_name_Hall '-R 3 2"'
_cell_length_a 5.2133
_cell_length_b 5.2133
_cell_length_c 26.3456
_cell_angle_alpha 90.00
_cell_angle_beta 90.00
_cell_angle_gamma 120.00
loop_
_atom_site_label
_atom_site_fract_x
_atom_site_fract_y
_atom_site_fract_z
_atom_site_occupancy
Li1 0.0000 0.0000 0.0000 1
Dy1 0.0000 0.0000 0.5000 1
Er1 0.0000 0.0000 0.2540 1
Tl1 0.0000 0.0000 0.1225 1
Tl2 0.0000 0.0000 0.3725 1
```

E_form = -241 kJ/mol of formula units

No. 16
This record from Alexandria via LeMat-Bulk describes crystalline LiDy2ErTl4 at its relaxed geometry. The functional is PBE.

Geometry as CIF:
```
data_LiDy2ErTl4
_chemical_formula_sum 'Li3 Dy6 Er3 Tl12'
_symmetry_space_group_name_H-M 'R -3 m'
_symmetry_Int_Tables_number 166
_symmetry_space_group_name_Hall '-R 3 2"'
_cell_length_a 5.2234
_cell_length_b 5.2234
_cell_length_c 26.3799
_cell_angle_alpha 90.00
_cell_angle_beta 90.00
_cell_angle_gamma 120.00
loop_
_atom_site_label
_atom_site_fract_x
_atom_site_fract_y
_atom_site_fract_z
_atom_site_occupancy
Li1 0.0000 0.0000 0.0000 1
Dy1 0.0000 0.0000 0.2544 1
Er1 0.0000 0.0000 0.5000 1
Tl1 0.0000 0.0000 0.1233 1
Tl2 0.0000 0.0000 0.3730 1
```

E_form = -246 kJ/mol of formula units

No. 17
This record from Alexandria via LeMat-Bulk describes crystalline Li2DyEr2Tl2 at its relaxed geometry. The functional is PBE.

Geometry as CIF:
```
data_Li2DyEr2Tl2
_chemical_formula_sum 'Li6 Dy3 Er6 Tl6'
_symmetry_space_group_name_H-M 'R -3 m'
_symmetry_Int_Tables_number 166
_symmetry_space_group_name_Hall '-R 3 2"'
_cell_length_a 4.8042
_cell_length_b 4.8042
_cell_length_c 26.6004
_cell_angle_alpha 90.00
_cell_angle_beta 90.00
_cell_angle_gamma 120.00
loop_
_atom_site_label
_atom_site_fract_x
_atom_site_fract_y
_atom_site_fract_z
_atom_site_occupancy
Li1 0.0000 0.0000 0.1015 1
Dy1 0.0000 0.0000 0.5000 1
Er1 0.0000 0.0000 0.3726 1
Tl1 0.0000 0.0000 0.2386 1
```

E_form = -112 kJ/mol of formula units

No. 18
This record from Alexandria via LeMat-Bulk describes crystalline Li2Dy2ErTl2 at its relaxed geometry. The functional is PBE.

Geometry as CIF:
```
data_Li2Dy2ErTl2
_chemical_formula_sum 'Li6 Dy6 Er3 Tl6'
_symmetry_space_group_name_H-M 'R -3 m'
_symmetry_Int_Tables_number 166
_symmetry_space_group_name_Hall '-R 3 2"'
_cell_length_a 4.7992
_cell_length_b 4.7992
_cell_length_c 26.7860
_cell_angle_alpha 90.00
_cell_angle_beta 90.00
_cell_angle_gamma 120.00
loop_
_atom_site_label
_atom_site_fract_x
_atom_site_fract_y
_atom_site_fract_z
_atom_site_occupancy
Li1 0.0000 0.0000 0.1049 1
Dy1 0.0000 0.0000 0.3734 1
Er1 0.0000 0.0000 0.5000 1
Tl1 0.0000 0.0000 0.2371 1
```

E_form = -113 kJ/mol of formula units

No. 19
This record from Alexandria via LeMat-Bulk describes crystalline DyErLu at its relaxed geometry. The functional is PBE.

Geometry as CIF:
```
data_DyErLu
_chemical_formula_sum 'Dy2 Er2 Lu2'
_symmetry_space_group_name_H-M 'I 4 m m'
_symmetry_Int_Tables_number 107
_symmetry_space_group_name_Hall 'I 4 -2'
_cell_length_a 3.489
_cell_length_b 3.489
_cell_length_c 14.888
_cell_angle_alpha 90.00
_cell_angle_beta 90.00
_cell_angle_gamma 90.00
loop_
_atom_site_label
_atom_site_fract_x
_atom_site_fract_y
_atom_site_fract_z
_atom_site_occupancy
Dy1 0.000 0.000 0.000 1
Er1 0.000 0.000 0.332 1
Lu1 0.000 0.000 0.667 1
```

E_form = 8 kJ/mol of formula units

No. 20
This record from Alexandria via LeMat-Bulk describes crystalline DyEr4Lu at its relaxed geometry. The functional is PBE.

Geometry as CIF:
```
data_DyEr4Lu
_chemical_formula_sum 'Dy4 Er16 Lu4'
_symmetry_space_group_name_H-M 'F -4 3 m'
_symmetry_Int_Tables_number 216
_symmetry_space_group_name_Hall 'F -4 2 3'
_cell_length_a 9.145
_cell_length_b 9.145
_cell_length_c 9.145
_cell_angle_alpha 90.00
_cell_angle_beta 90.00
_cell_angle_gamma 90.00
loop_
_atom_site_label
_atom_site_fract_x
_atom_site_fract_y
_atom_site_fract_z
_atom_site_occupancy
Dy1 0.000 0.000 0.000 1
Er1 0.125 0.125 0.625 1
Lu1 0.250 0.250 0.250 1
```

E_form = 152 kJ/mol of formula units